DFT (PBE with a Hubbard U) results for a relaxed Ca3Fe5Sn3O16 crystal.

Lattice parameters (Å, degrees): 3.1306 9.3556 10.9279 88.86 90.00 90.00
Each line ends with the local moment (μB).
Element x y z (fractional)
Fe (0.0000, 0.0822, 0.6061)  4.34
Fe (0.5000, 0.4135, 0.1076)  4.31
Fe (0.0000, 0.0634, 0.1152)  -1.91
Fe (0.0000, 0.5768, 0.8962)  4.34
Fe (0.0000, 0.5573, 0.3763)  1.15
O (0.5000, 0.6948, 0.3331)  -0.04
O (0.0000, 0.3780, 0.9793)  0.24
O (0.5000, 0.5128, 0.7884)  0.15
O (0.5000, 0.0460, 0.7187)  0.18
O (0.5000, 0.6130, 0.0191)  0.25
O (0.0000, 0.9635, 0.2878)  0.02
O (0.0000, 0.5850, 0.5518)  0.00
O (0.5000, 0.2158, 0.1742)  0.10
O (0.0000, 0.7897, 0.8525)  0.07
O (0.0000, 0.4828, 0.2140)  0.15
O (0.0000, 0.0825, 0.9239)  0.02
O (0.0000, 0.3028, 0.6561)  0.06
O (0.5000, 0.9101, 0.0735)  -0.02
O (0.5000, 0.4229, 0.4157)  -0.05
O (0.5000, 0.1205, 0.4767)  0.15
O (0.0000, 0.8855, 0.5304)  0.10
Ca (0.5000, 0.2601, 0.8534)  0.01
Ca (0.0000, 0.7389, 0.1467)  0.00
Ca (0.0000, 0.2417, 0.3363)  0.00
Sn (0.5000, 0.9029, 0.4075)  0.02
Sn (0.5000, 0.4557, 0.6079)  0.02
Sn (0.5000, 0.9277, 0.8845)  0.02

Summary:
symmetry: Pm
total magnetization: 13.975 μB/cell
volume: 11.85 A^3/atom
electronic total energy: -172.9 eV for the cell shown

DFT (PBE with a Hubbard U) results for a relaxed Ca3Fe6Sn2O16 crystal.

Lattice parameters (Å, degrees): 3.0820 9.1512 10.7490 89.40 90.00 90.00
Each line ends with the local moment (μB).
Element x y z (fractional)
Sn (0.0000, 0.0669, 0.6043)  0.00
Sn (0.0000, 0.5942, 0.8902)  0.00
O (0.5000, 0.0298, 0.7263)  -0.01
O (0.5000, 0.5152, 0.7825)  -0.01
O (0.5000, 0.1117, 0.4709)  -0.02
O (0.0000, 0.0822, 0.9251)  0.04
O (0.0000, 0.2937, 0.6609)  -0.04
O (0.5000, 0.9235, 0.0725)  0.15
O (0.0000, 0.4730, 0.2141)  0.00
O (0.0000, 0.3857, 0.9832)  0.04
O (0.5000, 0.7091, 0.3304)  0.01
O (0.0000, 0.5630, 0.5657)  -0.24
O (0.0000, 0.9759, 0.2816)  0.06
O (0.5000, 0.6165, 0.0294)  0.02
O (0.5000, 0.4112, 0.4267)  -0.04
O (0.0000, 0.8121, 0.8638)  -0.03
O (0.0000, 0.8769, 0.5053)  -0.04
O (0.5000, 0.2141, 0.1612)  0.15
Fe (0.5000, 0.9108, 0.3948)  1.19
Fe (0.5000, 0.4410, 0.6062)  1.18
Fe (0.0000, 0.5603, 0.3889)  3.16
Fe (0.5000, 0.9410, 0.8943)  1.11
Fe (0.0000, 0.0683, 0.1124)  4.30
Fe (0.5000, 0.4207, 0.1067)  -1.11
Ca (0.0000, 0.7491, 0.1665)  0.01
Ca (0.5000, 0.2578, 0.8471)  0.00
Ca (0.0000, 0.2451, 0.3392)  0.00

Summary:
symmetry: Pm
total magnetization: 9.999 μB/cell
volume: 11.23 A^3/atom
electronic total energy: -169.1 eV for the cell shown

DFT (PBE with a Hubbard U) results for a relaxed Ca2YFe3Sn2O12 crystal.

Lattice parameters (Å, degrees): 11.0671 11.0906 11.0944 109.52 109.46 109.31
Each line ends with the local moment (μB).
Element x y z (fractional)
O (0.0888, 0.9059, 0.3779)  0.13
O (0.1271, 0.4167, 0.0946)  0.21
O (0.6784, 0.2030, 0.5822)  0.14
O (0.8207, 0.9171, 0.2965)  0.14
O (0.7987, 0.4773, 0.3741)  0.14
O (0.5291, 0.3193, 0.9070)  0.13
O (0.9249, 0.1042, 0.6282)  0.13
O (0.7040, 0.1291, 0.0254)  0.14
O (0.4745, 0.6764, 0.1035)  0.13
O (0.9689, 0.3747, 0.2865)  0.13
O (0.1238, 0.7040, 0.5232)  0.14
O (0.3940, 0.3703, 0.5719)  0.13
O (0.3778, 0.9770, 0.7955)  0.15
O (0.4133, 0.2900, 0.3200)  0.13
O (0.7028, 0.5734, 0.1762)  0.13
O (0.5295, 0.2110, 0.1229)  0.14
O (0.9012, 0.8196, 0.5236)  0.14
O (0.0325, 0.6251, 0.7060)  0.01
O (0.2898, 0.4119, 0.8210)  0.12
O (0.8807, 0.5825, 0.9116)  0.07
O (0.1031, 0.9245, 0.1259)  0.13
O (0.3208, 0.7901, 0.4123)  0.12
O (0.2949, 0.8800, 0.9779)  0.15
O (0.4764, 0.7970, 0.8797)  0.14
O (0.1794, 0.1077, 0.9771)  0.14
O (0.4110, 0.1219, 0.5938)  0.13
O (0.7996, 0.3249, 0.9269)  0.22
O (0.5747, 0.8722, 0.3964)  0.13
O (0.5828, 0.7007, 0.6779)  0.13
O (0.5983, 0.9764, 0.6804)  0.14
O (0.6210, 0.0250, 0.2047)  0.14
O (0.2054, 0.5230, 0.6205)  0.15
O (0.3958, 0.0249, 0.3232)  0.13
O (0.9711, 0.5895, 0.1792)  0.22
O (0.1798, 0.0884, 0.7103)  0.13
O (0.2069, 0.6764, 0.0883)  0.21
O (0.8801, 0.2989, 0.4774)  0.14
O (0.8209, 0.9023, 0.0220)  0.13
O (0.5902, 0.6184, 0.4094)  0.13
O (0.3717, 0.4025, 0.0799)  0.13
O (0.9096, 0.0909, 0.8806)  0.12
O (0.0223, 0.3994, 0.8254)  0.22
O (0.6190, 0.5956, 0.9157)  0.14
O (0.1028, 0.1764, 0.4745)  0.13
O (0.0881, 0.1812, 0.2131)  0.13
O (0.6753, 0.4688, 0.5923)  0.01
O (0.3179, 0.5251, 0.3929)  0.14
O (0.9222, 0.8286, 0.7954)  0.01
Ca (0.7475, 0.8757, 0.6227)  0.00
Ca (0.8728, 0.1232, 0.2499)  0.01
Ca (0.6276, 0.3692, 0.7544)  0.01
Ca (0.3763, 0.7530, 0.6281)  0.01
Ca (0.6248, 0.2449, 0.3721)  0.00
Ca (0.1307, 0.8787, 0.7478)  0.01
Ca (0.8747, 0.7478, 0.1248)  0.00
Ca (0.2504, 0.6256, 0.8769)  0.00
Fe (0.7489, 0.6260, 0.3740)  4.26
Fe (0.6258, 0.8756, 0.2491)  4.26
Fe (0.7510, 0.1275, 0.8743)  4.26
Fe (0.1216, 0.3718, 0.2449)  4.27
Fe (0.3742, 0.1262, 0.7512)  4.26
Fe (0.8753, 0.2535, 0.6269)  4.26
Fe (0.6244, 0.7498, 0.8744)  4.26
Fe (0.3775, 0.2524, 0.1274)  4.26
Fe (0.0017, 0.4991, 0.0040)  4.40
Fe (0.2484, 0.3740, 0.6264)  4.26
Fe (0.1240, 0.7458, 0.3709)  4.26
Fe (0.2504, 0.8702, 0.1257)  4.26
Sn (0.0028, 0.4991, 0.4964)  0.04
Sn (0.0019, 0.0055, 0.0039)  0.04
Sn (0.4951, 0.4987, 0.4961)  0.04
Sn (0.4995, 0.4986, 0.9982)  0.05
Sn (0.4994, 0.0002, 0.5017)  0.05
Sn (0.8767, 0.6265, 0.7542)  0.01
Sn (0.4992, 0.0006, 0.0000)  0.05
Sn (0.0003, 0.9984, 0.4999)  0.05
Y (0.1217, 0.2540, 0.8765)  0.02
Y (0.2495, 0.1236, 0.3752)  0.02
Y (0.7566, 0.3784, 0.1246)  0.02
Y (0.3678, 0.6269, 0.2463)  0.02

Summary:
symmetry: P1
total magnetization: 60.000 μB/cell
volume: 13.12 A^3/atom
electronic total energy: -550.9 eV for the cell shown

DFT (PBE with a Hubbard U) results for a relaxed SrCa2FeO4 crystal.

Lattice parameters (Å, degrees): 3.4452 6.0381 11.8794 90.00 90.00 106.58
Each line ends with the local moment (μB).
Element x y z (fractional)
O (0.0000, 0.0000, 0.0000)  0.01
O (0.4460, 0.8921, 0.7500)  0.08
O (0.2606, 0.5213, 0.1227)  0.04
O (0.0000, 0.0000, 0.5000)  0.01
O (0.5540, 0.1079, 0.2500)  0.08
O (0.7394, 0.4787, 0.6227)  0.04
O (0.2606, 0.5213, 0.3773)  0.04
O (0.7394, 0.4787, 0.8773)  0.04
Sr (0.8784, 0.7569, 0.2500)  0.00
Sr (0.1216, 0.2431, 0.7500)  0.00
Fe (0.8581, 0.7162, 0.7500)  3.67
Fe (0.1419, 0.2838, 0.2500)  3.67
Ca (0.6301, 0.2601, 0.4613)  0.00
Ca (0.6301, 0.2601, 0.0387)  0.00
Ca (0.3699, 0.7399, 0.9613)  0.00
Ca (0.3699, 0.7399, 0.5387)  0.00

Summary:
symmetry: Cmcm
total magnetization: 8.000 μB/cell
volume: 14.80 A^3/atom
electronic total energy: -101.2 eV for the cell shown

DFT (PBE with a Hubbard U) results for a relaxed SrCaFeO3 crystal.

Lattice parameters (Å, degrees): 3.3523 6.6719 9.2395 95.99 90.00 90.00
Each line ends with the local moment (μB).
Element x y z (fractional)
Sr (0.2500, 0.1881, 0.2411)  0.00
Sr (0.7500, 0.8119, 0.7589)  0.00
O (0.7500, 0.1897, 0.4734)  0.12
O (0.2500, 0.8103, 0.5266)  0.12
O (0.2500, 0.5958, 0.8689)  0.01
O (0.2500, 0.1094, 0.7996)  0.02
O (0.7500, 0.8906, 0.2004)  0.02
O (0.7500, 0.4042, 0.1311)  0.01
Fe (0.2500, 0.1518, 0.5837)  3.71
Fe (0.7500, 0.8482, 0.4163)  3.71
Ca (0.7500, 0.3417, 0.8834)  0.00
Ca (0.2500, 0.6583, 0.1166)  0.00

Summary:
symmetry: P2_1/m
total magnetization: 8.001 μB/cell
volume: 17.13 A^3/atom
electronic total energy: -75.0 eV for the cell shown

DFT (PBE with a Hubbard U) results for a relaxed SrCaTbFeO6 crystal.

Lattice parameters (Å, degrees): 5.7349 5.7349 5.7349 60.00 60.00 60.00
Each line ends with the local moment (μB).
Element x y z (fractional)
O (0.7694, 0.2306, 0.2306)  -0.04
O (0.2306, 0.2306, 0.7694)  -0.04
O (0.2306, 0.7694, 0.7694)  -0.04
O (0.7694, 0.2306, 0.7694)  -0.04
O (0.2306, 0.7694, 0.2306)  -0.04
O (0.7694, 0.7694, 0.2306)  -0.04
Ca (0.7500, 0.7500, 0.7500)  0.01
Sr (0.2500, 0.2500, 0.2500)  0.01
Tb (0.5000, 0.5000, 0.5000)  -0.08
Fe (0.0000, 0.0000, 0.0000)  3.18

Summary:
symmetry: F-43m
total magnetization: 3.014 μB/cell
volume: 13.34 A^3/atom
electronic total energy: -66.4 eV for the cell shown

DFT (PBE with a Hubbard U) results for a relaxed Ca2TaFeO6 crystal.

Lattice parameters (Å, degrees): 7.8031 5.4858 5.6474 89.77 90.00 90.00
Each line ends with the local moment (μB).
Element x y z (fractional)
Ca (0.7500, 0.9933, 0.0401)  0.00
Ca (0.2500, 0.4876, 0.4372)  0.00
Ca (0.2500, 0.0067, 0.9599)  0.00
Ca (0.7500, 0.5124, 0.5628)  0.00
O (0.7500, 0.4095, 0.9701)  0.20
O (0.9537, 0.7091, 0.3022)  0.07
O (0.5463, 0.7091, 0.3022)  0.07
O (0.2500, 0.9078, 0.5282)  0.01
O (0.2500, 0.5905, 0.0299)  0.20
O (0.7500, 0.0922, 0.4718)  0.01
O (0.5480, 0.8035, 0.7892)  0.07
O (0.9520, 0.8035, 0.7892)  0.07
O (0.0463, 0.2909, 0.6978)  0.07
O (0.4537, 0.2909, 0.6978)  0.07
O (0.4520, 0.1965, 0.2108)  0.07
O (0.0480, 0.1965, 0.2108)  0.07
Ta (0.0000, 0.0000, 0.5000)  0.04
Ta (0.5000, 0.0000, 0.5000)  0.04
Fe (0.5000, 0.5000, 0.0000)  4.36
Fe (0.0000, 0.5000, 0.0000)  4.36

Summary:
symmetry: P2_1/m
total magnetization: 10.000 μB/cell
volume: 12.09 A^3/atom
electronic total energy: -156.0 eV for the cell shown

DFT (PBE with a Hubbard U) results for a relaxed CaTaFe2O6 crystal.

Lattice parameters (Å, degrees): 5.3905 5.2757 5.8355 61.85 62.36 59.89
Each line ends with the local moment (μB).
Element x y z (fractional)
Fe (0.5204, 0.5225, 0.4356)  3.71
Fe (0.0081, 0.0069, 0.9636)  3.13
O (0.9479, 0.6048, 0.2213)  -0.04
O (0.1485, 0.3546, 0.7759)  -0.03
O (0.3514, 0.7339, 0.7689)  -0.07
O (0.7093, 0.1677, 0.7529)  0.06
O (0.6121, 0.2319, 0.2135)  -0.02
O (0.2405, 0.9310, 0.2440)  0.05
Ta (0.3216, 0.3130, 0.0465)  0.04
Ca (0.8017, 0.7952, 0.5930)  0.00

Summary:
symmetry: P1
total magnetization: 6.935 μB/cell
volume: 12.08 A^3/atom
electronic total energy: -76.9 eV for the cell shown